Record 1
Below is an optimized crystal structure of Ac2InO2, with properties calculated at the PBE level.

The structure in extended XYZ format:
```
5
Lattice="3.979 0.000 0.000 0.000 3.979 0.000 0.000 0.000 8.219" Properties=species:S:1:pos:R:3 pbc="T T T"
Ac 1.990 1.990 5.650
Ac 1.990 1.990 2.569
In 0.000 0.000 0.000
O 1.990 0.000 4.109
O 0.000 1.990 4.109
```

Formation energy (no corrections) (meV per atom): -1837
Total moment (μB per formula unit): 0.78
ρ (g cm⁻³): 7.666



Record 2
Below is an optimized crystal structure of SbPt3Rh3, with properties calculated at the PBE level.

The structure in extended XYZ format:
```
14
Lattice="6.494 0.961 3.447 2.488 6.075 3.447 1.226 0.961 7.249" Properties=species:S:1:pos:R:3 pbc="T T T"
Sb 3.396 2.660 4.705
Sb 6.812 5.336 9.438
Pt 6.369 4.257 5.041
Pt 3.002 5.164 6.959
Pt 4.799 1.678 7.633
Pt 5.409 6.318 6.510
Pt 7.206 2.832 7.184
Pt 3.839 3.738 9.102
Rh 6.273 2.776 9.720
Rh 4.431 6.374 9.015
Rh 7.904 5.426 7.045
Rh 2.305 2.570 7.098
Rh 5.777 1.622 5.127
Rh 3.935 5.220 4.423
```

Formation energy (no corrections) (meV per atom): 8
Total moment (μB per formula unit): 0.00
ρ (g cm⁻³): 14.433



Record 3
Below is an optimized crystal structure of YGaBr, with properties calculated at the PBE level.

The structure in extended XYZ format:
```
12
Lattice="-0.048 6.594 -5.067 -3.533 -1.280 -1.632 -5.008 2.108 9.189" Properties=species:S:1:pos:R:3 pbc="T T T"
Y -0.704 3.347 -1.100
Y -4.975 3.761 2.679
Y -2.664 6.509 0.664
Y -1.927 4.815 -4.746
Ga -4.070 6.588 3.646
Ga -3.333 4.894 -1.765
Ga -1.202 6.086 -2.171
Ga -5.472 6.500 1.608
Br -2.141 3.752 1.693
Br -6.412 4.166 5.472
Br -3.191 2.678 4.808
Br -2.453 0.984 -0.602
```

Formation energy (no corrections) (meV per atom): -928
Total moment (μB per formula unit): 0.00
ρ (g cm⁻³): 4.680



Record 4
Below is an optimized crystal structure of KYSe2Br, with properties calculated at the PBE level.

The structure in extended XYZ format:
```
5
Lattice="-2.569 -0.018 4.866 3.590 -3.721 1.882 3.444 4.250 1.834" Properties=species:S:1:pos:R:3 pbc="T T T"
Y 0.000 0.000 0.000
K 2.233 0.255 4.291
Se 1.795 -1.861 0.941
Se -1.284 -0.009 2.433
Br 1.722 2.125 0.917
```

Formation energy (no corrections) (meV per atom): -1366
Total moment (μB per formula unit): 0.37
ΔE to the lowest computed polymorph (eV per atom): 0.0000
ρ (g cm⁻³): 3.478



Record 5
Below is an optimized crystal structure of CaPtPbO6, with properties calculated at the PBE level.

The structure in extended XYZ format:
```
18
Lattice="-5.345 -1.525 -0.061 3.174 -1.171 4.410 -2.449 8.423 3.998" Properties=species:S:1:pos:R:3 pbc="T T T"
Ca 0.000 0.000 0.000
Ca -1.224 4.212 1.999
Pt -3.117 0.699 2.429
Pt -1.502 5.029 5.918
Pb -0.278 0.817 3.919
Pb -4.342 4.911 4.428
O -1.868 -0.589 3.256
O -4.411 -0.729 1.994
O -0.319 3.703 6.783
O -0.208 6.457 6.354
O -1.814 2.093 2.942
O -4.076 0.863 4.149
O -2.385 5.196 7.678
O -4.300 2.025 1.564
O -0.544 4.865 4.198
O -2.235 0.532 0.669
O -2.805 3.635 5.405
O -2.752 6.317 5.091
```

Formation energy (no corrections) (meV per atom): -1075
Total moment (μB per formula unit): 1.50
ρ (g cm⁻³): 6.932



Record 6
Below is an optimized crystal structure of Cd2SiSnPd, with properties calculated at the PBE level.

The structure in extended XYZ format:
```
5
Lattice="5.087 0.000 0.000 0.000 4.662 0.000 0.000 0.000 5.087" Properties=species:S:1:pos:R:3 pbc="T T T"
Si 0.000 0.000 0.000
Sn 2.543 2.331 2.543
Pd 0.000 2.331 0.000
Cd 0.000 0.000 2.543
Cd 2.543 0.000 0.000
```

Formation energy (no corrections) (meV per atom): 252
Total moment (μB per formula unit): 0.00
ρ (g cm⁻³): 6.581



Question: Look up the total moment of the sixth one.
Answer: 0.00 μB per formula unit



Question: Which value of total moment does entry 4 give?
Answer: 0.37 μB per formula unit



Question: What is the formula in the first record?
Answer: Ac2InO2